A.
SmPaTl2 after structural relaxation, computed with PBE.

The structure in CIF format:
```
data_SmPaTl2
_chemical_formula_sum 'Sm1 Pa1 Tl2'
_symmetry_space_group_name_H-M 'P 4/m m m'
_symmetry_Int_Tables_number 123
_symmetry_space_group_name_Hall '-P 4 2'
_cell_length_a 3.435
_cell_length_b 3.435
_cell_length_c 9.207
_cell_angle_alpha 90.00
_cell_angle_beta 90.00
_cell_angle_gamma 90.00
loop_
_atom_site_label
_atom_site_fract_x
_atom_site_fract_y
_atom_site_fract_z
Sm1 0.000 0.000 0.000
Pa1 0.000 0.000 0.500
Tl1 0.500 0.500 0.251
```

Computed properties:
For the calculated density, the calculation gives 12.08 g/cm³.

B.
SmPaTl2 after structural relaxation, computed with PBE.

The structure in CIF format:
```
data_SmPaTl2
_chemical_formula_sum 'Sm1 Pa1 Tl2'
_symmetry_space_group_name_H-M 'P 4/m m m'
_symmetry_Int_Tables_number 123
_symmetry_space_group_name_Hall '-P 4 2'
_cell_length_a 4.944
_cell_length_b 4.944
_cell_length_c 4.527
_cell_angle_alpha 90.00
_cell_angle_beta 90.00
_cell_angle_gamma 90.00
loop_
_atom_site_label
_atom_site_fract_x
_atom_site_fract_y
_atom_site_fract_z
Sm1 0.000 0.000 0.000
Pa1 0.500 0.500 0.000
Tl1 0.000 0.500 0.500
```

Computed properties:
For the calculated density, the calculation gives 11.86 g/cm³.

C.
SmPaTl2 after structural relaxation, computed with PBE.

The structure in CIF format:
```
data_SmPaTl2
_chemical_formula_sum 'Sm3 Pa3 Tl6'
_symmetry_space_group_name_H-M 'R -3 m'
_symmetry_Int_Tables_number 166
_symmetry_space_group_name_Hall '-R 3 2"'
_cell_length_a 3.3374
_cell_length_b 3.3374
_cell_length_c 36.3400
_cell_angle_alpha 90.00
_cell_angle_beta 90.00
_cell_angle_gamma 120.00
loop_
_atom_site_label
_atom_site_fract_x
_atom_site_fract_y
_atom_site_fract_z
Sm1 0.0000 0.0000 0.0000
Pa1 0.0000 0.0000 0.5000
Tl1 0.0000 0.0000 0.0878
```

Computed properties:
For the calculated density, the calculation gives 11.23 g/cm³.

Energies relative to the most stable structure, in eV/atom: A 0.000; B 0.064; C 0.252.

A.
SmTmPa after structural relaxation, computed with PBE.

The structure in CIF format:
```
data_SmTmPa
_chemical_formula_sum 'Sm2 Tm2 Pa2'
_symmetry_space_group_name_H-M 'P 4/n m m'
_symmetry_Int_Tables_number 129
_cell_length_a 4.638
_cell_length_b 4.638
_cell_length_c 8.467
_cell_angle_alpha 90.00
_cell_angle_beta 90.00
_cell_angle_gamma 90.00
loop_
_symmetry_equiv_pos_as_xyz
'x,y,z'
'-x,-y,-z'
'-y+1/2,x,z'
'y+1/2,-x,-z'
'-x+1/2,-y+1/2,z'
'x+1/2,y+1/2,-z'
'y,-x+1/2,z'
'-y,x+1/2,-z'
'x+1/2,-y,-z'
'-x+1/2,y,z'
'-y,-x,-z'
'y,x,z'
'-x,y+1/2,-z'
'x,-y+1/2,z'
'y+1/2,x+1/2,-z'
'-y+1/2,-x+1/2,z'
loop_
_atom_site_label
_atom_site_fract_x
_atom_site_fract_y
_atom_site_fract_z
Sm1 0.250 0.250 0.190
Tm1 0.250 0.250 0.778
Pa1 0.250 0.750 0.500
```

Computed properties:
For the calculated density, the calculation gives 10.04 g/cm³.

B.
SmTmPa after structural relaxation, computed with PBE.

The structure in CIF format:
```
data_SmTmPa
_chemical_formula_sum 'Sm2 Tm2 Pa2'
_symmetry_space_group_name_H-M 'I 4 m m'
_symmetry_Int_Tables_number 107
_symmetry_space_group_name_Hall 'I 4 -2'
_cell_length_a 3.401
_cell_length_b 3.401
_cell_length_c 15.197
_cell_angle_alpha 90.00
_cell_angle_beta 90.00
_cell_angle_gamma 90.00
loop_
_atom_site_label
_atom_site_fract_x
_atom_site_fract_y
_atom_site_fract_z
Sm1 0.000 0.000 0.000
Tm1 0.000 0.000 0.687
Pa1 0.000 0.000 0.341
```

Computed properties:
For the calculated density, the calculation gives 10.40 g/cm³.

C.
SmTmPa after structural relaxation, computed with PBE.

The structure in CIF format:
```
data_SmTmPa
_chemical_formula_sum 'Sm1 Tm1 Pa1'
_symmetry_space_group_name_H-M 'P 3 m 1'
_symmetry_Int_Tables_number 156
_cell_length_a 3.4251
_cell_length_b 3.4251
_cell_length_c 8.5698
_cell_angle_alpha 90.00
_cell_angle_beta 90.00
_cell_angle_gamma 120.00
loop_
_symmetry_equiv_pos_as_xyz
'x,y,z'
'-y,x-y,z'
'-x+y,-x,z'
'-y,-x,z'
'-x+y,y,z'
'x,x-y,z'
loop_
_atom_site_label
_atom_site_fract_x
_atom_site_fract_y
_atom_site_fract_z
Sm1 0.0000 0.0000 0.0000
Tm1 0.3333 0.6667 0.6394
Pa1 0.6667 0.3333 0.3242
```

Computed properties:
For the calculated density, the calculation gives 10.50 g/cm³.

Energies relative to the most stable structure, in eV/atom: A 0.146; B 0.027; C 0.000.

A.
SmPaZn2 after structural relaxation, computed with PBE.

The structure in CIF format:
```
data_SmPaZn2
_chemical_formula_sum 'Sm1 Pa1 Zn2'
_symmetry_space_group_name_H-M 'P 4/m m m'
_symmetry_Int_Tables_number 123
_symmetry_space_group_name_Hall '-P 4 2'
_cell_length_a 5.279
_cell_length_b 5.279
_cell_length_c 3.264
_cell_angle_alpha 90.00
_cell_angle_beta 90.00
_cell_angle_gamma 90.00
loop_
_atom_site_label
_atom_site_fract_x
_atom_site_fract_y
_atom_site_fract_z
Sm1 0.000 0.000 0.000
Pa1 0.500 0.500 0.000
Zn1 0.000 0.500 0.500
```

Computed properties:
For the calculated density, the calculation gives 9.35 g/cm³.

B.
SmPaZn2 after structural relaxation, computed with PBE.

The structure in CIF format:
```
data_SmPaZn2
_chemical_formula_sum 'Sm4 Pa4 Zn8'
_symmetry_space_group_name_H-M 'F m -3 m'
_symmetry_Int_Tables_number 225
_symmetry_space_group_name_Hall '-F 4 2 3'
_cell_length_a 7.153
_cell_length_b 7.153
_cell_length_c 7.153
_cell_angle_alpha 90.00
_cell_angle_beta 90.00
_cell_angle_gamma 90.00
loop_
_atom_site_label
_atom_site_fract_x
_atom_site_fract_y
_atom_site_fract_z
Sm1 0.000 0.000 0.000
Pa1 0.000 0.000 0.500
Zn1 0.250 0.250 0.250
```

Computed properties:
For the calculated density, the calculation gives 9.30 g/cm³.

C.
SmPaZn2 after structural relaxation, computed with PBE.

The structure in CIF format:
```
data_SmPaZn2
_chemical_formula_sum 'Sm3 Pa3 Zn6'
_symmetry_space_group_name_H-M 'R -3 m'
_symmetry_Int_Tables_number 166
_symmetry_space_group_name_Hall '-R 3 2"'
_cell_length_a 3.3303
_cell_length_b 3.3303
_cell_length_c 29.2958
_cell_angle_alpha 90.00
_cell_angle_beta 90.00
_cell_angle_gamma 120.00
loop_
_atom_site_label
_atom_site_fract_x
_atom_site_fract_y
_atom_site_fract_z
Sm1 0.0000 0.0000 0.0000
Pa1 0.0000 0.0000 0.5000
Zn1 0.0000 0.0000 0.2495
```

Computed properties:
For the calculated density, the calculation gives 9.07 g/cm³.

D.
SmPaZn2 after structural relaxation, computed with PBE.

The structure in CIF format:
```
data_SmPaZn2
_chemical_formula_sum 'Sm1 Pa1 Zn2'
_symmetry_space_group_name_H-M 'P 4/m m m'
_symmetry_Int_Tables_number 123
_symmetry_space_group_name_Hall '-P 4 2'
_cell_length_a 3.224
_cell_length_b 3.224
_cell_length_c 8.529
_cell_angle_alpha 90.00
_cell_angle_beta 90.00
_cell_angle_gamma 90.00
loop_
_atom_site_label
_atom_site_fract_x
_atom_site_fract_y
_atom_site_fract_z
Sm1 0.000 0.000 0.000
Pa1 0.000 0.000 0.500
Zn1 0.500 0.500 0.253
```

Computed properties:
For the calculated density, the calculation gives 9.59 g/cm³.

Energies relative to the most stable structure, in eV/atom: A 0.040; B 0.080; C 0.160; D 0.000.

A.
Sm2PaZn after structural relaxation, computed with PBE.

The structure in CIF format:
```
data_Sm2PaZn
_chemical_formula_sum 'Sm2 Pa1 Zn1'
_symmetry_space_group_name_H-M 'P 4/m m m'
_symmetry_Int_Tables_number 123
_symmetry_space_group_name_Hall '-P 4 2'
_cell_length_a 3.456
_cell_length_b 3.456
_cell_length_c 8.830
_cell_angle_alpha 90.00
_cell_angle_beta 90.00
_cell_angle_gamma 90.00
loop_
_atom_site_label
_atom_site_fract_x
_atom_site_fract_y
_atom_site_fract_z
Sm1 0.000 0.000 0.225
Pa1 0.500 0.500 0.500
Zn1 0.500 0.500 0.000
```

Computed properties:
For the calculated density, the calculation gives 9.40 g/cm³.

B.
Sm2PaZn after structural relaxation, computed with PBE.

The structure in CIF format:
```
data_Sm2PaZn
_chemical_formula_sum 'Sm6 Pa3 Zn3'
_symmetry_space_group_name_H-M 'R -3 m'
_symmetry_Int_Tables_number 166
_symmetry_space_group_name_Hall '-R 3 2"'
_cell_length_a 3.2955
_cell_length_b 3.2955
_cell_length_c 34.3941
_cell_angle_alpha 90.00
_cell_angle_beta 90.00
_cell_angle_gamma 120.00
loop_
_atom_site_label
_atom_site_fract_x
_atom_site_fract_y
_atom_site_fract_z
Sm1 0.0000 0.0000 0.0953
Pa1 0.0000 0.0000 0.0000
Zn1 0.0000 0.0000 0.5000
```

Computed properties:
For the calculated density, the calculation gives 9.20 g/cm³.

Energies relative to the most stable structure, in eV/atom: A 0.000; B 0.293.

A.
SmZrPa after structural relaxation, computed with PBE.

The structure in CIF format:
```
data_SmZrPa
_chemical_formula_sum 'Sm2 Zr2 Pa2'
_symmetry_space_group_name_H-M 'I 4 m m'
_symmetry_Int_Tables_number 107
_symmetry_space_group_name_Hall 'I 4 -2'
_cell_length_a 3.226
_cell_length_b 3.226
_cell_length_c 15.408
_cell_angle_alpha 90.00
_cell_angle_beta 90.00
_cell_angle_gamma 90.00
loop_
_atom_site_label
_atom_site_fract_x
_atom_site_fract_y
_atom_site_fract_z
Sm1 0.000 0.000 0.000
Zr1 0.000 0.000 0.674
Pa1 0.000 0.000 0.326
```

Computed properties:
For the calculated density, the calculation gives 9.79 g/cm³.

B.
SmZrPa after structural relaxation, computed with PBE.

The structure in CIF format:
```
data_SmZrPa
_chemical_formula_sum 'Sm1 Zr1 Pa1'
_symmetry_space_group_name_H-M 'P -6 m 2'
_symmetry_Int_Tables_number 187
_symmetry_space_group_name_Hall 'P -6 2'
_cell_length_a 5.2748
_cell_length_b 5.2748
_cell_length_c 3.3635
_cell_angle_alpha 90.00
_cell_angle_beta 90.00
_cell_angle_gamma 120.00
loop_
_atom_site_label
_atom_site_fract_x
_atom_site_fract_y
_atom_site_fract_z
Sm1 0.0000 0.0000 0.0000
Zr1 0.3333 0.6667 0.5000
Pa1 0.6667 0.3333 0.5000
```

Computed properties:
For the calculated density, the calculation gives 9.68 g/cm³.

Energies relative to the most stable structure, in eV/atom: A 0.000; B 0.064.

A.
PaSn5 after structural relaxation, computed with PBE.

The structure in CIF format:
```
data_PaSn5
_chemical_formula_sum 'Pa4 Sn20'
_symmetry_space_group_name_H-M 'I 4/m c m'
_symmetry_Int_Tables_number 140
_symmetry_space_group_name_Hall '-I 4 2c'
_cell_length_a 7.267
_cell_length_b 7.267
_cell_length_c 12.783
_cell_angle_alpha 90.00
_cell_angle_beta 90.00
_cell_angle_gamma 90.00
loop_
_atom_site_label
_atom_site_fract_x
_atom_site_fract_y
_atom_site_fract_z
Pa1 0.000 0.000 0.250
Sn1 0.000 0.000 0.000
Sn2 0.144 0.356 0.122
```

Computed properties:
For the calculated density, the calculation gives 8.11 g/cm³.

B.
PaSn5 after structural relaxation, computed with PBE.

The structure in CIF format:
```
data_PaSn5
_chemical_formula_sum 'Pa2 Sn10'
_symmetry_space_group_name_H-M 'C m m m'
_symmetry_Int_Tables_number 65
_symmetry_space_group_name_Hall '-C 2 2'
_cell_length_a 4.805
_cell_length_b 15.015
_cell_length_c 4.343
_cell_angle_alpha 90.00
_cell_angle_beta 90.00
_cell_angle_gamma 90.00
loop_
_atom_site_label
_atom_site_fract_x
_atom_site_fract_y
_atom_site_fract_z
Pa1 0.000 0.000 0.000
Sn1 0.000 0.173 0.500
Sn2 0.000 0.346 0.000
Sn3 0.000 0.500 0.500
```

Computed properties:
For the calculated density, the calculation gives 8.74 g/cm³.

Energies relative to the most stable structure, in eV/atom: A 0.103; B 0.000.